This record from the Alexandria database describes crystalline BaCu4Si at its relaxed geometry. The functional is PBE.

Calculated values
Energy = -0.27816 Ry/atom

a = 7.445 Å, b = 7.445 Å, c = 7.445 Å
α = 90.00°, β = 90.00°, γ = 90.00°
Space group F-43m (No. 216)
Unique sites:
Ba 0.000 0.000 0.000
Cu 0.123 0.123 0.623
Si 0.250 0.250 0.250

This record from the Alexandria database describes crystalline Ba2CuSi2 at its relaxed geometry. The functional is PBE.

Calculated values
Energy relative to the lowest polymorph listed for this composition = 169 meV per atom

a = 8.169 Å, b = 8.169 Å, c = 4.612 Å
α = 90.00°, β = 90.00°, γ = 90.00°
Space group P4/mbm (No. 127)
Unique sites:
Ba 0.191 0.309 0.000
Cu 0.000 0.000 0.500
Si 0.099 0.599 0.500

This record from the Alexandria database describes crystalline BaCu2Si at its relaxed geometry. The functional is PBE.

Calculated values
Energy = -0.27853 Ry/atom

a = 4.125 Å, b = 6.056 Å, c = 7.504 Å
α = 90.00°, β = 90.00°, γ = 90.00°
Space group Immm (No. 71)
Unique sites:
Ba 0.000 0.000 0.000
Cu 0.000 0.500 0.162
Si 0.000 0.000 0.500

This record from the Alexandria database describes crystalline Ba8CuSi16 at its relaxed geometry. The functional is PBE.

Calculated values
Energy relative to the lowest polymorph listed for this composition = 101 meV per atom

a = 6.649 Å, b = 9.661 Å, c = 11.525 Å
α = 87.32°, β = 87.96°, γ = 84.60°
Space group P1 (No. 1)
Unique sites:
Ba 0.000 0.000 0.000
Ba 0.018 0.661 0.724
Ba 0.043 0.469 0.128
Ba 0.419 0.960 0.617
Ba 0.482 0.837 0.224
Ba 0.501 0.490 0.457
Ba 0.533 0.335 0.887
Ba 0.937 0.126 0.394
Cu 0.530 0.537 0.108
Si 0.039 0.318 0.841
Si 0.149 0.782 0.452
Si 0.227 0.295 0.655
Si 0.327 0.692 0.976
Si 0.330 0.166 0.145
Si 0.429 0.171 0.333
Si 0.498 0.896 0.916
Si 0.518 0.686 0.796
Si 0.596 0.312 0.188
Si 0.646 0.219 0.622
Si 0.704 0.685 0.971
Si 0.786 0.795 0.454
Si 0.865 0.386 0.656
Si 0.965 0.132 0.717
Si 0.979 0.801 0.270
Si 0.981 0.587 0.395

This record from the Alexandria database describes crystalline BaCu6Si4 at its relaxed geometry. The functional is PBE.

Calculated values
Energy = -0.32836 Ry/atom

a = 6.9178 Å, b = 6.9178 Å, c = 4.0612 Å
α = 90.00°, β = 90.00°, γ = 120.00°
Space group P-6m2 (No. 187)
Unique sites:
Ba 0.0000 0.0000 0.0000
Cu 0.2107 0.4213 0.5000
Cu 0.5362 0.0724 0.0000
Si 0.3333 0.6667 0.0000
Si 0.4155 0.2078 0.5000

This record from the Alexandria database describes crystalline BaCu6Si3 at its relaxed geometry. The functional is PBE.

Calculated values
Energy = -0.31419 Ry/atom

a = 8.375 Å, b = 6.134 Å, c = 7.739 Å
α = 90.00°, β = 114.32°, γ = 90.00°
Space group P2_1/c (No. 14)
Unique sites:
Ba 0.000 0.000 0.000
Cu 0.253 0.008 0.685
Cu 0.365 0.656 0.908
Cu 0.451 0.167 0.246
Si 0.270 0.196 0.418
Si 0.500 0.000 0.000

This record from the Alexandria database describes crystalline BaCu2Si at its relaxed geometry. The functional is PBE.

Calculated values
Energy = -0.30164 Ry/atom

a = 7.266 Å, b = 4.200 Å, c = 6.306 Å
α = 90.00°, β = 113.14°, γ = 90.00°
Space group Cm (No. 8)
Unique sites:
Ba 0.000 0.000 0.000
Cu 0.185 0.000 0.549
Cu 0.499 0.000 0.490
Si 0.311 0.500 0.426

This record from the Alexandria database describes crystalline BaCu2Si at its relaxed geometry. The functional is PBE.

Calculated values
Energy = -0.27769 Ry/atom

a = 4.281 Å, b = 6.188 Å, c = 7.476 Å
α = 90.00°, β = 90.00°, γ = 90.00°
Space group Imm2 (No. 44)
Unique sites:
Ba 0.000 0.000 0.000
Cu 0.000 0.000 0.462
Cu 0.000 0.500 0.142
Si 0.000 0.500 0.833

| no. | N(E_F) (states/eV/atom) |
| --- | --- |
| 1 | 0.336 |
| 2 | 0.703 |
| 3 | 0.505 |
| 4 | 0.212 |
| 5 | 0.338 |
| 6 | 0.456 |
| 7 | 0.531 |
| 8 | 0.402 |